(1)
{
  "formula": "La4HgPbN",
  "functional": "PBE",
  "state": "relaxed",
  "raw_formation_energy_ev_per_atom": -0.734,
  "dos_at_fermi_per_ev_atom": 0.6509,
  "m_tot_mub_per_fu": 0.00,
  "crystal_system": "orthorhombic",
  "energy_ev_per_atom": -5.312,
  "cell": [[3.538, -8.453, 0.000], [3.538, 8.453, 0.000], [0.000, 0.000, 7.101]],
  "species": ["La", "La", "La", "La", "La", "La", "La", "La", "Hg", "Hg", "Pb", "Pb", "N", "N"],
  "fractional_positions": [[0.000, 0.500, 0.000], [0.000, 0.500, 0.500], [0.071, 0.929, 0.750], [0.413, 0.587, 0.750], [0.500, 0.000, 0.000], [0.500, 0.000, 0.500], [0.587, 0.413, 0.250], [0.929, 0.071, 0.250], [0.115, 0.885, 0.250], [0.885, 0.115, 0.750], [0.390, 0.610, 0.250], [0.610, 0.390, 0.750], [0.268, 0.732, 0.750], [0.732, 0.268, 0.250]]
}


(2)
{
  "formula": "La2HgPdN",
  "functional": "PBE",
  "state": "relaxed",
  "raw_formation_energy_ev_per_atom": -0.724,
  "dos_at_fermi_per_ev_atom": 0.7442,
  "m_tot_mub_per_fu": 0.00,
  "crystal_system": "tetragonal",
  "energy_ev_per_atom": -5.459,
  "cell": [[5.132, 0.000, 0.000], [0.000, 5.132, 0.000], [0.000, 0.000, 4.285]],
  "species": ["La", "La", "Hg", "Pd", "N"],
  "fractional_positions": [[0.000, 0.500, 0.000], [0.500, 0.000, 0.000], [0.000, 0.000, 0.500], [0.500, 0.500, 0.500], [0.500, 0.500, 0.000]]
}


(3)
{
  "formula": "LaPm2HgN",
  "functional": "PBE",
  "state": "relaxed",
  "raw_formation_energy_ev_per_atom": -0.785,
  "dos_at_fermi_per_ev_atom": 1.0757,
  "m_tot_mub_per_fu": 0.00,
  "crystal_system": "tetragonal",
  "energy_ev_per_atom": -5.396,
  "cell": [[4.993, 0.000, 0.000], [0.000, 4.993, 0.000], [0.000, 0.000, 5.081]],
  "species": ["La", "Pm", "Pm", "Hg", "N"],
  "fractional_positions": [[0.000, 0.000, 0.000], [0.000, 0.500, 0.500], [0.500, 0.000, 0.500], [0.500, 0.500, 0.000], [0.000, 0.000, 0.500]]
}


(4)
{
  "formula": "La2PmHgN",
  "functional": "PBE",
  "state": "relaxed",
  "raw_formation_energy_ev_per_atom": -0.784,
  "dos_at_fermi_per_ev_atom": 1.1080,
  "m_tot_mub_per_fu": 0.00,
  "crystal_system": "tetragonal",
  "energy_ev_per_atom": -5.431,
  "cell": [[5.104, 0.000, 0.000], [0.000, 5.104, 0.000], [0.000, 0.000, 4.998]],
  "species": ["La", "La", "Pm", "Hg", "N"],
  "fractional_positions": [[0.000, 0.500, 0.000], [0.500, 0.000, 0.000], [0.000, 0.000, 0.500], [0.500, 0.500, 0.500], [0.000, 0.000, 0.000]]
}


(5)
{
  "formula": "La4Pm3Hg3N2",
  "functional": "PBE",
  "state": "relaxed",
  "raw_formation_energy_ev_per_atom": -0.734,
  "dos_at_fermi_per_ev_atom": 0.7228,
  "m_tot_mub_per_fu": 0.00,
  "crystal_system": "orthorhombic",
  "energy_ev_per_atom": -5.027,
  "cell": [[-2.543, 2.576, 12.484], [2.543, -2.576, 12.484], [2.543, 2.576, -12.484]],
  "species": ["La", "La", "La", "La", "Pm", "Pm", "Pm", "Hg", "Hg", "Hg", "N", "N"],
  "fractional_positions": [[0.095, 0.095, 0.000], [0.301, 0.801, 0.500], [0.699, 0.199, 0.500], [0.905, 0.905, 0.000], [0.404, 0.404, 0.000], [0.500, 0.000, 0.500], [0.596, 0.596, 0.000], [0.000, 0.500, 0.500], [0.174, 0.674, 0.500], [0.826, 0.326, 0.500], [0.399, 0.899, 0.500], [0.601, 0.101, 0.500]]
}


(6)
{
  "formula": "LaPr2HgN",
  "functional": "PBE",
  "state": "relaxed",
  "raw_formation_energy_ev_per_atom": -0.745,
  "dos_at_fermi_per_ev_atom": 1.1116,
  "m_tot_mub_per_fu": 0.00,
  "crystal_system": "tetragonal",
  "energy_ev_per_atom": -5.368,
  "cell": [[5.088, 0.000, 0.000], [0.000, 5.088, 0.000], [0.000, 0.000, 5.071]],
  "species": ["La", "Pr", "Pr", "Hg", "N"],
  "fractional_positions": [[0.000, 0.000, 0.000], [0.000, 0.500, 0.500], [0.500, 0.000, 0.500], [0.500, 0.500, 0.000], [0.000, 0.000, 0.500]]
}